DFT (GGA-PBEsol) results for an optimized crystal structure of In2TeMo.

E_form (uncorrected), meV per atom: 605
SG: F-43m
M_tot, μB/atom: 0.48

abc: 4.961 4.961 4.961
angles: 60.00 60.00 60.00
Fractional coordinates of all 4 atoms:
In: 0.000 0.000 0.000
In: 0.250 0.250 0.250
Te: 0.750 0.750 0.750
Mo: 0.500 0.500 0.500